Crystalline La5Sm6Ho2 at its relaxed geometry, computed with PBE.

Computed properties:
E   -122.0 eV per cell
Space-group type   No. 55
ΔH_f (0 K)   8 kJ per mole of atoms

Cell lengths 11.827, 21.017, 3.665 Å; angles 90.00, 90.00, 90.00 degrees
Atoms (fractional coordinates):
1 La 0.000 0.000 0.000
2 La 0.083 0.272 0.000
3 La 0.198 0.551 0.000
4 La 0.302 0.051 0.000
5 La 0.417 0.772 0.000
6 La 0.500 0.500 0.000
7 La 0.583 0.228 0.000
8 La 0.698 0.949 0.000
9 La 0.802 0.449 0.000
10 La 0.917 0.728 0.000
11 Sm 0.062 0.418 0.500
12 Sm 0.083 0.131 0.500
13 Sm 0.175 0.859 0.000
14 Sm 0.325 0.359 0.000
15 Sm 0.417 0.631 0.500
16 Sm 0.438 0.918 0.500
17 Sm 0.562 0.082 0.500
18 Sm 0.583 0.369 0.500
19 Sm 0.675 0.641 0.000
20 Sm 0.825 0.141 0.000
21 Sm 0.917 0.869 0.500
22 Sm 0.938 0.582 0.500
23 Ho 0.171 0.710 0.500
24 Ho 0.329 0.210 0.500
25 Ho 0.671 0.790 0.500
26 Ho 0.829 0.290 0.500

=====

Crystalline Ac2Y4Er5 at its relaxed geometry, computed with PBE.

Computed properties:
E   -55.4 eV per cell
Space-group type   No. 12
ΔH_f (0 K)   13 kJ per mole of atoms

Cell lengths 12.211, 12.211, 9.292 Å; angles 111.69, 111.69, 17.14 degrees
Atoms (fractional coordinates):
1 Ac 0.112 0.112 0.424
2 Ac 0.888 0.888 0.576
3 Y 0.045 0.045 0.715
4 Y 0.314 0.314 0.159
5 Y 0.686 0.686 0.841
6 Y 0.955 0.955 0.285
7 Er 0.132 0.132 0.072
8 Er 0.267 0.267 0.662
9 Er 0.500 0.500 0.000
10 Er 0.733 0.733 0.338
11 Er 0.868 0.868 0.928

=====

Crystalline HoZrIr4 at its relaxed geometry, computed with PBE.

Computed properties:
E   -53.0 eV per cell
Space-group type   No. 216
ΔH_f (0 K)   -71 kJ per mole of atoms

Cell lengths 5.300, 5.300, 5.300 Å; angles 60.00, 60.00, 60.00 degrees
Atoms (fractional coordinates):
1 Ho 0.000 0.000 0.000
2 Zr 0.750 0.750 0.750
3 Ir 0.375 0.375 0.375
4 Ir 0.375 0.375 0.876
5 Ir 0.375 0.876 0.375
6 Ir 0.876 0.375 0.375

=====

Crystalline Li3Y3US8 at its relaxed geometry, computed with PBE.

Computed properties:
E   -95.4 eV per cell
ΔE_f (raw)   -1.732 eV per atom
Space-group type   No. 166

Cell lengths 7.671, 7.671, 7.671 Å; angles 61.86, 61.86, 61.86 degrees
Atoms (fractional coordinates):
1 Li 0.000 0.500 0.500
2 Li 0.500 0.000 0.500
3 Li 0.500 0.500 0.000
4 Y 0.000 0.000 0.500
5 Y 0.000 0.500 0.000
6 Y 0.500 0.000 0.000
7 U 0.500 0.500 0.500
8 S 0.250 0.250 0.250
9 S 0.255 0.744 0.744
10 S 0.256 0.256 0.745
11 S 0.256 0.745 0.256
12 S 0.744 0.255 0.744
13 S 0.744 0.744 0.255
14 S 0.745 0.256 0.256
15 S 0.750 0.750 0.750

=====

Crystalline Np3P5Se12 at its relaxed geometry, computed with PBE.

Computed properties:
E   -451.7 eV per cell
ΔE_f (raw)   -0.263 eV per atom
Space-group type   No. 230

Cell lengths 13.773, 13.773, 13.773 Å; angles 109.47, 109.47, 109.47 degrees
Atoms (fractional coordinates):
1 Np 0.125 0.250 0.375
2 Np 0.125 0.375 0.750
3 Np 0.250 0.375 0.125
4 Np 0.250 0.875 0.625
5 Np 0.375 0.125 0.250
6 Np 0.375 0.750 0.125
7 Np 0.625 0.250 0.875
8 Np 0.625 0.875 0.750
9 Np 0.750 0.125 0.375
10 Np 0.750 0.625 0.875
11 Np 0.875 0.625 0.250
12 Np 0.875 0.750 0.625
13 P 0.000 0.000 0.000
14 P 0.000 0.000 0.500
15 P 0.000 0.500 0.000
16 P 0.000 0.500 0.500
17 P 0.125 0.750 0.875
18 P 0.125 0.875 0.250
19 P 0.250 0.125 0.875
20 P 0.250 0.625 0.375
21 P 0.375 0.250 0.625
22 P 0.375 0.625 0.750
23 P 0.500 0.000 0.000
24 P 0.500 0.000 0.500
25 P 0.500 0.500 0.000
26 P 0.500 0.500 0.500
27 P 0.625 0.375 0.250
28 P 0.625 0.750 0.375
29 P 0.750 0.375 0.625
30 P 0.750 0.875 0.125
31 P 0.875 0.125 0.750
32 P 0.875 0.250 0.125
33 Se 0.036 0.209 0.126
34 Se 0.036 0.327 0.910
35 Se 0.083 0.709 0.673
36 Se 0.083 0.874 0.410
37 Se 0.090 0.626 0.417
38 Se 0.090 0.964 0.673
39 Se 0.126 0.036 0.209
40 Se 0.126 0.590 0.917
41 Se 0.173 0.209 0.583
42 Se 0.173 0.464 0.590
43 Se 0.209 0.126 0.036
44 Se 0.209 0.583 0.173
45 Se 0.291 0.327 0.917
46 Se 0.291 0.464 0.374
47 Se 0.327 0.910 0.036
48 Se 0.327 0.917 0.291
49 Se 0.374 0.291 0.464
50 Se 0.374 0.583 0.910
51 Se 0.410 0.083 0.874
52 Se 0.410 0.827 0.536
53 Se 0.417 0.090 0.626
54 Se 0.417 0.827 0.791
55 Se 0.464 0.374 0.291
56 Se 0.464 0.590 0.173
57 Se 0.536 0.410 0.827
58 Se 0.536 0.626 0.709
59 Se 0.583 0.173 0.209
60 Se 0.583 0.910 0.374
61 Se 0.590 0.173 0.464
62 Se 0.590 0.917 0.126
63 Se 0.626 0.417 0.090
64 Se 0.626 0.709 0.536
65 Se 0.673 0.083 0.709
66 Se 0.673 0.090 0.964
67 Se 0.709 0.536 0.626
68 Se 0.709 0.673 0.083
69 Se 0.791 0.417 0.827
70 Se 0.791 0.874 0.964
71 Se 0.827 0.536 0.410
72 Se 0.827 0.791 0.417
73 Se 0.874 0.410 0.083
74 Se 0.874 0.964 0.791
75 Se 0.910 0.036 0.327
76 Se 0.910 0.374 0.583
77 Se 0.917 0.126 0.590
78 Se 0.917 0.291 0.327
79 Se 0.964 0.673 0.090
80 Se 0.964 0.791 0.874

=====

Crystalline TaTlCr2Hg at its relaxed geometry, computed with PBE.

Computed properties:
E   -21.5 eV per cell
Space-group type   No. 123
ΔH_f (0 K)   236 kJ per mole of atoms

Cell lengths 4.787, 4.787, 5.087 Å; angles 90.00, 90.00, 90.00 degrees
Atoms (fractional coordinates):
1 Ta 0.000 0.000 0.000
2 Tl 0.500 0.500 0.000
3 Cr 0.000 0.500 0.500
4 Cr 0.500 0.000 0.500
5 Hg 0.500 0.500 0.500

=====

Crystalline GaSiO at its relaxed geometry, computed with PBE.

Computed properties:
E   -30.8 eV per cell
ΔE_f (raw)   -0.671 eV per atom
Space-group type   No. 187

Cell lengths 2.673, 2.673, 15.165 Å; angles 90.00, 90.00, 120.00 degrees
Atoms (fractional coordinates):
1 Ga 0.000 0.000 0.179
2 Ga 0.000 0.000 0.821
3 Si 0.000 0.000 0.500
4 Si 0.667 0.333 0.000
5 O 0.667 0.333 0.428
6 O 0.667 0.333 0.572

=====

Crystalline K2Ag2Pd at its relaxed geometry, computed with PBE.

Computed properties:
E   -25.3 eV per cell
Space-group type   No. 127
ΔH_f (0 K)   8 kJ per mole of atoms

Cell lengths 7.134, 7.134, 5.359 Å; angles 90.00, 90.00, 90.00 degrees
Atoms (fractional coordinates):
1 K 0.180 0.320 0.000
2 K 0.320 0.820 0.000
3 K 0.680 0.180 0.000
4 K 0.820 0.680 0.000
5 Ag 0.140 0.640 0.500
6 Ag 0.360 0.140 0.500
7 Ag 0.640 0.860 0.500
8 Ag 0.860 0.360 0.500
9 Pd 0.000 0.000 0.500
10 Pd 0.500 0.500 0.500

=====

Crystalline Nd8Si3Se4O at its relaxed geometry, computed with PBE.

Computed properties:
E   -97.4 eV per cell
ΔE_f (raw)   -1.506 eV per atom
Space-group type   No. 166

Cell lengths 8.449, 8.449, 8.449 Å; angles 59.07, 59.07, 59.07 degrees
Atoms (fractional coordinates):
1 Nd 0.247 0.247 0.247
2 Nd 0.253 0.737 0.737
3 Nd 0.263 0.263 0.747
4 Nd 0.263 0.747 0.263
5 Nd 0.737 0.253 0.737
6 Nd 0.737 0.737 0.253
7 Nd 0.747 0.263 0.263
8 Nd 0.753 0.753 0.753
9 Si 0.000 0.000 0.500
10 Si 0.000 0.500 0.000
11 Si 0.500 0.000 0.000
12 Se 0.000 0.000 0.000
13 Se 0.000 0.500 0.500
14 Se 0.500 0.000 0.500
15 Se 0.500 0.500 0.000
16 O 0.500 0.500 0.500

=====

Crystalline Tb8Ge5Pt at its relaxed geometry, computed with PBE.

Computed properties:
E   -78.2 eV per cell
Space-group type   No. 82
ΔH_f (0 K)   -83 kJ per mole of atoms

Cell lengths 7.683, 7.683, 7.683 Å; angles 109.87, 109.87, 108.67 degrees
Atoms (fractional coordinates):
1 Tb 0.004 0.129 0.747
2 Tb 0.247 0.495 0.617
3 Tb 0.369 0.753 0.247
4 Tb 0.383 0.257 0.253
5 Tb 0.505 0.122 0.753
6 Tb 0.743 0.996 0.126
7 Tb 0.871 0.617 0.874
8 Tb 0.878 0.631 0.383
9 Ge 0.000 0.373 0.126
10 Ge 0.125 0.000 0.373
11 Ge 0.248 0.875 0.874
12 Ge 0.500 0.500 0.000
13 Ge 0.627 0.752 0.627
14 Pt 0.750 0.250 0.500

=====

Crystalline PmAl3Pt3 at its relaxed geometry, computed with PBE.

Computed properties:
E   -81.5 eV per cell
Space-group type   No. 148
ΔH_f (0 K)   -91 kJ per mole of atoms

Cell lengths 7.632, 7.632, 7.632 Å; angles 52.82, 52.82, 52.82 degrees
Atoms (fractional coordinates):
1 Pm 0.159 0.159 0.159
2 Pm 0.841 0.841 0.841
3 Al 0.049 0.235 0.592
4 Al 0.235 0.592 0.049
5 Al 0.408 0.951 0.765
6 Al 0.592 0.049 0.235
7 Al 0.765 0.408 0.951
8 Al 0.951 0.765 0.408
9 Pt 0.184 0.407 0.668
10 Pt 0.332 0.816 0.593
11 Pt 0.407 0.668 0.184
12 Pt 0.593 0.332 0.816
13 Pt 0.668 0.184 0.407
14 Pt 0.816 0.593 0.332

=====

Crystalline DyY2Pb at its relaxed geometry, computed with PBE.

Computed properties:
E   -21.1 eV per cell
Space-group type   No. 166
ΔH_f (0 K)   4 kJ per mole of atoms

Cell lengths 12.193, 12.193, 12.193 Å; angles 16.72, 16.72, 16.72 degrees
Atoms (fractional coordinates):
1 Dy 0.000 0.000 0.000
2 Y 0.412 0.412 0.412
3 Y 0.588 0.588 0.588
4 Pb 0.500 0.500 0.500

=====

Crystalline Co2TcIr at its relaxed geometry, computed with PBE.

Computed properties:
E   -33.0 eV per cell
Space-group type   No. 166
ΔH_f (0 K)   11 kJ per mole of atoms

Cell lengths 8.575, 8.575, 8.575 Å; angles 17.80, 17.80, 17.80 degrees
Atoms (fractional coordinates):
1 Co 0.249 0.249 0.249
2 Co 0.751 0.751 0.751
3 Tc 0.500 0.500 0.500
4 Ir 0.000 0.000 0.000

=====

Crystalline Sm3ScIn at its relaxed geometry, computed with PBE.

Computed properties:
E   -48.2 eV per cell
Space-group type   No. 63
ΔH_f (0 K)   -17 kJ per mole of atoms

Cell lengths 12.672, 12.672, 4.827 Å; angles 90.00, 90.00, 158.03 degrees
Atoms (fractional coordinates):
1 Sm 0.055 0.945 0.750
2 Sm 0.251 0.749 0.750
3 Sm 0.444 0.556 0.750
4 Sm 0.556 0.444 0.250
5 Sm 0.749 0.251 0.250
6 Sm 0.945 0.055 0.250
7 Sc 0.348 0.652 0.250
8 Sc 0.652 0.348 0.750
9 In 0.153 0.847 0.250
10 In 0.847 0.153 0.750

=====

Crystalline Zn2GaNiRu at its relaxed geometry, computed with PBE.

Computed properties:
E   -15.8 eV per cell
Space-group type   No. 123
ΔH_f (0 K)   93 kJ per mole of atoms

Cell lengths 4.467, 4.467, 4.245 Å; angles 90.00, 90.00, 90.00 degrees
Atoms (fractional coordinates):
1 Zn 0.000 0.500 0.000
2 Zn 0.500 0.000 0.000
3 Ga 0.000 0.000 0.000
4 Ni 0.000 0.000 0.500
5 Ru 0.500 0.500 0.500

=====

Crystalline RbBa3Mo at its relaxed geometry, computed with PBE.

Computed properties:
E   -14.2 eV per cell
Space-group type   No. 221
ΔH_f (0 K)   65 kJ per mole of atoms

Cell lengths 6.304, 6.304, 6.304 Å; angles 90.00, 90.00, 90.00 degrees
Atoms (fractional coordinates):
1 Rb 0.000 0.000 0.000
2 Ba 0.000 0.500 0.500
3 Ba 0.500 0.000 0.500
4 Ba 0.500 0.500 0.000
5 Mo 0.500 0.500 0.500

=====

Crystalline Mo3ICl at its relaxed geometry, computed with PBE.

Computed properties:
E   -24.0 eV per cell
ΔE_f (raw)   2.375 eV per atom
Space-group type   No. 221

Cell lengths 4.970, 4.970, 4.970 Å; angles 90.00, 90.00, 90.00 degrees
Atoms (fractional coordinates):
1 Mo 0.000 0.000 0.500
2 Mo 0.000 0.500 0.000
3 Mo 0.500 0.000 0.000
4 I 0.000 0.000 0.000
5 Cl 0.500 0.500 0.500

=====

Crystalline Y2CdCu12Ni3 at its relaxed geometry, computed with PBE.

Computed properties:
E   -79.1 eV per cell
Space-group type   No. 166
ΔH_f (0 K)   7 kJ per mole of atoms

Cell lengths 6.429, 6.429, 6.429 Å; angles 83.60, 83.60, 83.60 degrees
Atoms (fractional coordinates):
1 Y 0.242 0.242 0.242
2 Y 0.758 0.758 0.758
3 Cd 0.500 0.500 0.500
4 Cu 0.080 0.080 0.645
5 Cu 0.080 0.645 0.080
6 Cu 0.207 0.704 0.704
7 Cu 0.296 0.296 0.793
8 Cu 0.296 0.793 0.296
9 Cu 0.355 0.920 0.920
10 Cu 0.645 0.080 0.080
11 Cu 0.704 0.207 0.704
12 Cu 0.704 0.704 0.207
13 Cu 0.793 0.296 0.296
14 Cu 0.920 0.355 0.920
15 Cu 0.920 0.920 0.355
16 Ni 0.000 0.500 0.500
17 Ni 0.500 0.000 0.500
18 Ni 0.500 0.500 0.000

=====

Crystalline LiLa3Nd2Te6 at its relaxed geometry, computed with PBE.

Computed properties:
E   -62.8 eV per cell
ΔE_f (raw)   -1.477 eV per atom
Space-group type   No. 12

Cell lengths 10.087, 10.087, 9.002 Å; angles 102.26, 102.26, 25.96 degrees
Atoms (fractional coordinates):
1 Li 0.000 0.000 0.000
2 La 0.000 0.000 0.500
3 La 0.333 0.333 0.167
4 La 0.667 0.667 0.833
5 Nd 0.331 0.331 0.660
6 Nd 0.669 0.669 0.340
7 Te 0.161 0.161 0.085
8 Te 0.166 0.166 0.583
9 Te 0.498 0.498 0.763
10 Te 0.502 0.502 0.237
11 Te 0.834 0.834 0.417
12 Te 0.839 0.839 0.915